Below is a relaxed RbNpFeO6 crystal, with properties calculated at the PBE+U level.

a = 5.295 Å, b = 5.296 Å, c = 6.383 Å
α = 90.05°, β = 90.10°, γ = 60.01°
Last column: magnetic moment on the atom in μB.
Atoms (fractional coordinates):
1 Rb 0.000 0.000 0.000  0.00
2 Np 0.667 0.667 0.500  0.07
3 Fe 0.333 0.333 0.500  2.38
4 O 0.013 0.373 0.331  -0.05
5 O 0.374 0.014 0.669  -0.05
6 O 0.614 0.373 0.669  -0.05
7 O 0.014 0.613 0.669  -0.05
8 O 0.373 0.613 0.331  -0.05
9 O 0.613 0.014 0.331  -0.05

Computed properties:
Its volume is 17.228 Å³/atom. As for the crystal system: monoclinic. As for the symmetry: C2 (5). Its electronic total energy is -65.97 eV per cell.